# Be2TlCoNi, relaxed, DFT PBE
# D(E_F)	0.70	states/eV/atom
# spin magnetization	1.2	μB/f.u.
# calculated formation energy	0.654	eV/atom
data_Be2TlCoNi
_symmetry_space_group_name_H-M 'P 4/m m m'
_symmetry_Int_Tables_number 123
_symmetry_space_group_name_Hall '-P 4 2'
_cell_length_a 4.088
_cell_length_b 4.088
_cell_length_c 4.414
_cell_angle_alpha 90.00
_cell_angle_beta 90.00
_cell_angle_gamma 90.00
loop_
_atom_site_label
_atom_site_type_symbol
_atom_site_fract_x
_atom_site_fract_y
_atom_site_fract_z
Be1 Be 0.000 0.500 0.000
Tl1 Tl 0.000 0.000 0.500
Co1 Co 0.500 0.500 0.000
Ni1 Ni 0.500 0.500 0.500

# K4NbTe4, relaxed, DFT PBE
# D(E_F)	0.60	states/eV/atom
# spin magnetization	1.0	μB/f.u.
# ΔE_f (raw)	-740	meV/atom
data_K4NbTe4
_symmetry_space_group_name_H-M 'I -4 2 m'
_symmetry_Int_Tables_number 121
_symmetry_space_group_name_Hall 'I -4 2'
_cell_length_a 8.260
_cell_length_b 8.260
_cell_length_c 13.654
_cell_angle_alpha 90.00
_cell_angle_beta 90.00
_cell_angle_gamma 90.00
loop_
_atom_site_label
_atom_site_type_symbol
_atom_site_fract_x
_atom_site_fract_y
_atom_site_fract_z
K1 K 0.000 0.000 0.192
K2 K 0.000 0.500 0.000
Nb1 Nb 0.000 0.000 0.500
Te1 Te 0.189 0.189 0.614

# LaSmHo2P4, relaxed, DFT PBE
# D(E_F)	0.10	states/eV/atom
# spin magnetization	0.0	μB/f.u.
# calculated formation energy	-1.580	eV/atom
data_LaSmHo2P4
_symmetry_space_group_name_H-M 'P 1 2/m 1'
_symmetry_Int_Tables_number 10
_symmetry_space_group_name_Hall '-P 2y'
_cell_length_a 7.080
_cell_length_b 4.093
_cell_length_c 7.086
_cell_angle_alpha 90.00
_cell_angle_beta 109.46
_cell_angle_gamma 90.00
loop_
_atom_site_label
_atom_site_type_symbol
_atom_site_fract_x
_atom_site_fract_y
_atom_site_fract_z
La1 La 0.000 0.000 0.000
Sm1 Sm 0.000 0.500 0.500
Ho1 Ho 0.500 0.000 0.500
Ho2 Ho 0.500 0.500 0.000
P1 P 0.260 0.000 0.750
P2 P 0.263 0.500 0.258

# Pb3I2Cl4O6, relaxed, DFT PBE
# D(E_F)	0.00	states/eV/atom
# spin magnetization	0.0	μB/f.u.
# ΔE_f (raw)	-801	meV/atom
data_Pb3I2Cl4O6
_symmetry_space_group_name_H-M 'C 1 2/c 1'
_symmetry_Int_Tables_number 15
_symmetry_space_group_name_Hall '-C 2yc'
_cell_length_a 15.803
_cell_length_b 7.530
_cell_length_c 12.300
_cell_angle_alpha 90.00
_cell_angle_beta 118.47
_cell_angle_gamma 90.00
loop_
_atom_site_label
_atom_site_type_symbol
_atom_site_fract_x
_atom_site_fract_y
_atom_site_fract_z
Pb1 Pb 0.000 0.176 0.250
Pb2 Pb 0.197 0.132 0.681
I1 I 0.049 0.284 0.967
Cl1 Cl 0.124 0.450 0.770
Cl2 Cl 0.203 0.062 0.385
O1 O 0.008 0.084 0.625
O2 O 0.039 0.315 0.476
O3 O 0.151 0.188 0.105